# 1
Here is an optimized crystal structure of MgZrReI2 from the Alexandria database. Energies are from PBE.

a = 5.483 Å, b = 5.483 Å, c = 5.091 Å
α = 90.00°, β = 90.00°, γ = 90.00°
Element x y z (fractional)
Mg1 0.000 0.000 0.000
Zr1 0.500 0.500 0.000
Re1 0.500 0.500 0.500
I1 0.000 0.500 0.500
I2 0.500 0.000 0.500

Computed properties:
- Space-group type: No. 123
- D(E_F): 1.065 states/eV per atom
- Electronic total energy: -4.270 eV per atom

# 2
Here is an optimized crystal structure of LiOs2I from the Alexandria database. Energies are from PBE.

a = 8.277 Å, b = 8.277 Å, c = 4.684 Å
α = 90.00°, β = 90.00°, γ = 90.00°
Element x y z (fractional)
Li1 0.000 0.000 0.000
Li2 0.000 0.500 0.250
Li3 0.500 0.000 0.750
Li4 0.500 0.500 0.500
Os1 0.196 0.750 0.625
Os2 0.250 0.196 0.375
Os3 0.250 0.304 0.875
Os4 0.304 0.750 0.125
Os5 0.696 0.250 0.125
Os6 0.750 0.696 0.875
Os7 0.750 0.804 0.375
Os8 0.804 0.250 0.625
I1 0.000 0.000 0.500
I2 0.000 0.500 0.750
I3 0.500 0.000 0.250
I4 0.500 0.500 0.000

Computed properties:
- Relative energy among the computed polymorphs: 310 meV/atom
- Space-group type: No. 122
- D(E_F): 0.888 states/eV per atom
- Electronic total energy: -5.172 eV per atom